Entry 1:
A geometry-optimized K2ZnCr structure, computed with GGA-PBE.

Unit cell a=3.7963 b=3.7963 c=34.7280 alpha=90.00 beta=90.00 gamma=120.00
Space group R-3m (No. 166, hexagonal axes)
Inequivalent atoms, fractional coordinates:
K1 0.0000 0.0000 0.2501
Zn1 0.0000 0.0000 0.0000
Cr1 0.0000 0.0000 0.5000

Entry 2:
A geometry-optimized K2ZnCr structure, computed with GGA-PBE.

Unit cell a=6.415 b=3.412 c=6.955 alpha=90.00 beta=99.45 gamma=90.00
Space group P2/m (No. 10)
Inequivalent atoms, fractional coordinates:
K1 0.000 0.000 0.000
K2 0.500 0.500 0.500
Zn1 0.000 0.000 0.500
Cr1 0.500 0.500 0.000

Entry 3:
A geometry-optimized KZn2Cr structure, computed with GGA-PBE.

Unit cell a=5.164 b=5.164 c=18.183 alpha=90.00 beta=90.00 gamma=90.00
Space group I4_1/amd (No. 141, origin choice 2)
Inequivalent atoms, fractional coordinates:
K1 0.000 0.250 0.375
Zn1 0.000 0.000 0.000
Cr1 0.000 0.250 0.875

Entry 4:
A geometry-optimized KZnCr2 structure, computed with GGA-PBE.

Unit cell a=5.461 b=5.461 c=18.069 alpha=90.00 beta=90.00 gamma=90.00
Space group I-42d (No. 122)
Inequivalent atoms, fractional coordinates:
K1 0.000 0.000 0.000
Zn1 0.000 0.000 0.500
Cr1 0.027 0.750 0.625

Entry 5:
A geometry-optimized KZnCr2 structure, computed with GGA-PBE.

Unit cell a=5.248 b=5.248 c=3.222 alpha=90.00 beta=90.00 gamma=90.00
Space group P4/mmm (No. 123)
Inequivalent atoms, fractional coordinates:
K1 0.000 0.000 0.000
Zn1 0.500 0.500 0.000
Cr1 0.000 0.500 0.500

Entry 6:
A geometry-optimized KZn2Cr structure, computed with GGA-PBE.

Unit cell a=9.043 b=3.137 c=7.001 alpha=90.00 beta=98.52 gamma=90.00
Space group C2/m (No. 12)
Inequivalent atoms, fractional coordinates:
K1 0.000 0.000 0.000
Zn1 0.229 0.000 0.646
Cr1 0.000 0.500 0.500

Entry 7:
A geometry-optimized KZnCr2 structure, computed with GGA-PBE.

Unit cell a=8.540 b=2.973 c=7.389 alpha=90.00 beta=96.25 gamma=90.00
Space group Cm (No. 8)
Inequivalent atoms, fractional coordinates:
K1 0.000 0.000 0.000
Zn1 0.232 0.000 0.657
Cr1 0.003 0.500 0.470
Cr2 0.278 0.500 0.367

Entry 8:
A geometry-optimized KZnCr2 structure, computed with GGA-PBE.

Unit cell a=3.214 b=3.214 c=8.800 alpha=90.00 beta=90.00 gamma=90.00
Space group P4/mmm (No. 123)
Inequivalent atoms, fractional coordinates:
K1 0.000 0.000 0.000
Zn1 0.000 0.000 0.500
Cr1 0.500 0.500 0.329

| no. | calculated formation energy (eV per atom) |
| --- | --- |
| 1 | 0.8291 |
| 2 | 0.7983 |
| 3 | 0.5562 |
| 4 | 1.1356 |
| 5 | 1.1957 |
| 6 | 0.4492 |
| 7 | 0.6747 |
| 8 | 0.8429 |